No. 1
Density functional theory data (PBE) for an optimized crystal structure of CrIr2Ru.

extended XYZ file:
```
4
Lattice="-2.9488 1.6363 3.2467 -2.4656 -0.9560 3.8628 3.0387 1.3394 3.2524" Properties=species:S:1:pos:R:3 pbc="T T T"
Ir -5.3944 0.6822 7.1018
Ir -1.2079 1.0080 5.1887
Ru -1.7818 1.5148 7.7715
Cr -0.5939 0.5049 2.5905
```

The formation energy is -0.066 eV/atom. Its energy above the lowest structure with this stoichiometry is 0.1133 eV per atom. As for the space group: No. 12.

---

No. 2
Density functional theory data (PBE) for an optimized crystal structure of Cr2IrRu.

extended XYZ file:
```
4
Lattice="2.8362 0.0000 0.0000 0.0000 2.8362 0.0000 0.0000 0.0000 6.4810" Properties=species:S:1:pos:R:3 pbc="T T T"
Cr 1.4181 1.4181 1.4268
Cr 0.0000 0.0000 0.1610
Ir 0.0000 0.0000 3.0879
Ru 1.4181 1.4181 5.0459
```

The formation energy is 0.077 eV/atom. As for the space group: No. 99.

---

No. 3
Density functional theory data (PBE) for an optimized crystal structure of CrIrRu2.

extended XYZ file:
```
4
Lattice="-4.9926 1.6777 7.0815 -4.4799 -0.9265 7.5472 -2.7222 0.9556 8.3405" Properties=species:S:1:pos:R:3 pbc="T T T"
Ru -12.1831 1.7052 22.9475
Ru -3.0199 0.4227 5.6882
Cr -6.0976 0.8534 11.4851
Ir -9.1859 1.2857 17.3021
```

The formation energy is 0.068 eV/atom. Its energy above the lowest structure with this stoichiometry is 0.1427 eV per atom. As for the space group: No. 160.

---

No. 4
Density functional theory data (PBE) for an optimized crystal structure of CrIr3Ru4.

extended XYZ file:
```
16
Lattice="-4.2743 1.4970 1.3142 -0.7200 -4.5767 2.8716 3.4603 3.8005 6.9248" Properties=species:S:1:pos:R:3 pbc="T T T"
Ir -1.6503 0.0076 3.5037
Ir 0.1274 1.8644 4.2830
Ir 0.3115 -1.8613 3.5525
Ir -4.2819 -2.7320 3.6390
Ir 2.0406 0.0377 7.0127
Ir 0.0810 1.9091 6.9683
Ru -0.2652 -0.3737 8.3626
Ru -1.9761 -2.2529 4.9386
Ru -2.5627 -0.8234 7.1023
Ru 0.6779 0.3849 2.1051
Ru -1.6151 -0.0360 0.8268
Ru -2.2116 1.4579 5.6748
Ru 2.4273 2.3063 5.6059
Ru -1.9809 -2.3122 2.2588
Cr -3.9292 -0.4336 2.2013
Cr -0.2422 -0.4281 5.7258
```

The formation energy is -0.106 eV/atom. As for the space group: No. 31.

---

No. 5
Density functional theory data (PBE) for an optimized crystal structure of CrIrRu2.

extended XYZ file:
```
4
Lattice="-4.3130 1.6254 0.5610 -4.1540 -0.6790 1.9601 0.5531 2.4170 3.9181" Properties=species:S:1:pos:R:3 pbc="T T T"
Ru 0.5469 2.4004 3.8916
Ru -5.9535 2.5226 4.8315
Cr -3.9593 1.6834 3.2227
Ir -1.9517 0.8557 1.6312
```

The formation energy is -0.002 eV/atom. Its energy above the lowest structure with this stoichiometry is 0.0729 eV per atom. As for the space group: No. 8.

---

No. 6
Density functional theory data (PBE) for an optimized crystal structure of Cr2IrRu.

extended XYZ file:
```
4
Lattice="4.5368 0.0015 0.0000 -1.3924 4.3178 0.0000 0.0000 0.0000 2.6700" Properties=species:S:1:pos:R:3 pbc="T T T"
Ru -0.6962 2.1589 1.3350
Cr 1.5722 2.1597 0.0000
Cr 0.0000 0.0000 0.0000
Ir 2.2684 0.0007 1.3350
```

The formation energy is -0.031 eV/atom. As for the space group: No. 65.

---

Calculated volume
In order: 55.5 52.1 54.6 221.7 54.7 52.3
Unit: Å³/cell